# KTc2Au (PBE, optimized geometry)
# - D(E_F): 1.1502 states/eV per atom
# - Total magnetization: 2.1 Bohr magnetons per cell
# - Energy above the lowest structure with this stoichiometry: 0.7711 eV/atom
# - Formation enthalpy at 0 K: 1.195 eV/atom
data_KTc2Au
_chemical_formula_sum 'K4 Tc8 Au4'
_cell_length_a 6.6164
_cell_length_b 6.6164
_cell_length_c 6.6164
_cell_angle_alpha 90.00
_cell_angle_beta 90.00
_cell_angle_gamma 90.00
_symmetry_space_group_name_H-M 'F -4 3 m'
_symmetry_Int_Tables_number 216
_symmetry_space_group_name_Hall 'F -4 2 3'
loop_
_atom_site_label
_atom_site_fract_x
_atom_site_fract_y
_atom_site_fract_z
_atom_site_occupancy
K1 0.0000 0.0000 0.0000 1
Tc1 0.0000 0.0000 0.5000 1
Tc2 0.2500 0.2500 0.7500 1
Au1 0.2500 0.2500 0.2500 1